Entry 1:
The following is a PBE-GGA calculation of a relaxed structure of Pm3HoAl, from the Alexandria database.

Geometry as CIF:
```
data_Pm3HoAl
_chemical_formula_sum 'Pm6 Ho2 Al2'
_cell_length_a 5.225
_cell_length_b 9.476
_cell_length_c 6.545
_cell_angle_alpha 90.00
_cell_angle_beta 90.00
_cell_angle_gamma 90.00
_space_group_name_H-M_alt 'A m m 2'
_space_group_IT_number 38
loop_
_space_group_symop_operation_xyz
'x,y,z'
'-x,-y,z'
'-x,y,z'
'x,-y,z'
'x,y+1/2,z+1/2'
'-x,-y+1/2,z+1/2'
'-x,y+1/2,z+1/2'
'x,-y+1/2,z+1/2'
loop_
_atom_site_label
_atom_site_type_symbol
_atom_site_fract_x
_atom_site_fract_y
_atom_site_fract_z
_atom_site_occupancy
Pm1 Pm 0.000 0.000 0.000 1
Pm2 Pm 0.500 0.184 0.723 1
Ho1 Ho 0.000 0.000 0.473 1
Al1 Al 0.500 0.000 0.249 1
```

The formation energy comes out at 89 meV/atom.


Entry 2:
The following is a PBE-GGA calculation of a relaxed structure of PmHo3Al2, from the Alexandria database.

Geometry as CIF:
```
data_PmHo3Al2
_chemical_formula_sum 'Pm1 Ho3 Al2'
_cell_length_a 3.544
_cell_length_b 3.544
_cell_length_c 12.600
_cell_angle_alpha 90.00
_cell_angle_beta 90.00
_cell_angle_gamma 90.00
_space_group_name_H-M_alt 'P 4/m m m'
_space_group_IT_number 123
_space_group_name_Hall '-P 4 2'
loop_
_atom_site_label
_atom_site_type_symbol
_atom_site_fract_x
_atom_site_fract_y
_atom_site_fract_z
_atom_site_occupancy
Pm1 Pm 0.000 0.000 0.000 1
Ho1 Ho 0.500 0.500 0.206 1
Ho2 Ho 0.500 0.500 0.500 1
Al1 Al 0.000 0.000 0.352 1
```

The formation energy comes out at -256 meV/atom.